No. 1
The following is a DFT calculation (PBE-GGA) of a relaxed MgBeAs2 crystal.

Properties
Energy of formation from the pure elements in eV/atom: 0.028
Volume in Å³ per atom: 17.886

Unit cell a=3.826 b=3.496 c=5.613 alpha=90.00 beta=107.63 gamma=90.00
Sites, in units of the cell vectors:
Mg (0.000, 0.000, 0.000)
Be (0.500, 0.000, 0.500)
As (0.273, 0.500, 0.700)
As (0.727, 0.500, 0.300)



No. 2
The following is a DFT calculation (PBE-GGA) of a relaxed MgBe2As crystal.

Properties
Energy of formation from the pure elements in eV/atom: 0.267
Volume in Å³ per atom: 16.237

Unit cell a=6.230 b=6.230 c=6.230 alpha=33.32 beta=33.32 gamma=33.32
Sites, in units of the cell vectors:
Mg (0.000, 0.000, 0.000)
Be (0.222, 0.222, 0.222)
Be (0.778, 0.778, 0.778)
As (0.500, 0.500, 0.500)



No. 3
The following is a DFT calculation (PBE-GGA) of a relaxed MgBeAs2 crystal.

Properties
Energy of formation from the pure elements in eV/atom: 0.285
Volume in Å³ per atom: 19.557

Unit cell a=10.092 b=10.092 c=10.092 alpha=17.18 beta=17.18 gamma=17.18
Sites, in units of the cell vectors:
Mg (0.000, 0.000, 0.000)
Be (0.259, 0.259, 0.259)
As (0.537, 0.537, 0.537)
As (0.740, 0.740, 0.740)



No. 4
The following is a DFT calculation (PBE-GGA) of a relaxed MgBe2As crystal.

Properties
Energy of formation from the pure elements in eV/atom: 0.337
Volume in Å³ per atom: 14.447

Unit cell a=3.308 b=3.308 c=5.280 alpha=90.00 beta=90.00 gamma=90.00
Sites, in units of the cell vectors:
Mg (0.000, 0.000, 0.000)
Be (0.500, 0.500, 0.298)
Be (0.500, 0.500, 0.702)
As (0.000, 0.000, 0.500)



No. 5
The following is a DFT calculation (PBE-GGA) of a relaxed Mg3BeAs crystal.

Properties
Energy of formation from the pure elements in eV/atom: 0.455
Volume in Å³ per atom: 24.710

Unit cell a=4.981 b=4.981 c=4.981 alpha=90.00 beta=90.00 gamma=90.00
Sites, in units of the cell vectors:
Mg (0.000, 0.000, 0.500)
Mg (0.000, 0.500, 0.000)
Mg (0.500, 0.000, 0.000)
Be (0.500, 0.500, 0.500)
As (0.000, 0.000, 0.000)



No. 6
The following is a DFT calculation (PBE-GGA) of a relaxed MgBeAs2N crystal.

Properties
Formation energy from raw total energies in eV/atom: 0.02
Volume in Å³ per atom: 15.410

Unit cell a=4.987 b=4.987 c=3.098 alpha=90.00 beta=90.00 gamma=90.00
Sites, in units of the cell vectors:
Mg (0.000, 0.000, 0.000)
Be (0.500, 0.500, 0.000)
As (0.000, 0.500, 0.500)
As (0.500, 0.000, 0.500)
N (0.500, 0.500, 0.500)



No. 7
The following is a DFT calculation (PBE-GGA) of a relaxed MgBeAs2N crystal.

Properties
Formation energy from raw total energies in eV/atom: 2.07
Volume in Å³ per atom: 21.539

Unit cell a=4.858 b=4.858 c=4.562 alpha=90.00 beta=90.00 gamma=90.00
Sites, in units of the cell vectors:
Mg (0.000, 0.000, 0.000)
Be (0.000, 0.000, 0.500)
As (0.000, 0.500, 0.000)
As (0.500, 0.000, 0.000)
N (0.500, 0.500, 0.500)



No. 8
The following is a DFT calculation (PBE-GGA) of a relaxed Na2MgBeAs2 crystal.

Properties
Energy of formation from the pure elements in eV/atom: -0.477
Volume in Å³ per atom: 20.429

Unit cell a=8.144 b=8.144 c=8.144 alpha=137.65 beta=61.92 gamma=137.02
Sites, in units of the cell vectors:
Na (0.181, 0.250, 0.430)
Na (0.319, 0.750, 0.069)
Na (0.681, 0.250, 0.931)
Na (0.819, 0.750, 0.570)
Mg (0.250, 0.250, 0.000)
Mg (0.750, 0.750, 0.000)
Be (0.250, 0.750, 0.500)
Be (0.750, 0.250, 0.500)
As (0.102, 0.716, 0.818)
As (0.398, 0.216, 0.615)
As (0.602, 0.784, 0.385)
As (0.898, 0.284, 0.182)



No. 9
The following is a DFT calculation (PBE-GGA) of a relaxed Mg2BeAsO6 crystal.

Properties
Formation energy from raw total energies in eV/atom: -1.70
Volume in Å³ per atom: 10.411

Unit cell a=4.719 b=4.719 c=4.675 alpha=90.00 beta=90.00 gamma=90.00
Sites, in units of the cell vectors:
Mg (0.000, 0.500, 0.000)
Mg (0.500, 0.000, 0.000)
Be (0.000, 0.000, 0.537)
As (0.500, 0.500, 0.571)
O (0.000, 0.000, 0.204)
O (0.248, 0.248, 0.702)
O (0.248, 0.752, 0.702)
O (0.500, 0.500, 0.200)
O (0.752, 0.248, 0.702)
O (0.752, 0.752, 0.702)



No. 10
The following is a DFT calculation (PBE-GGA) of a relaxed MgBe2AsO6 crystal.

Properties
Formation energy from raw total energies in eV/atom: -1.95
Volume in Å³ per atom: 9.895

Unit cell a=6.364 b=6.364 c=5.407 alpha=108.05 beta=108.05 gamma=83.07
Sites, in units of the cell vectors:
Mg (0.099, 0.901, 0.750)
Mg (0.901, 0.099, 0.250)
Be (0.230, 0.383, 0.860)
Be (0.383, 0.230, 0.360)
Be (0.617, 0.770, 0.640)
Be (0.770, 0.617, 0.140)
As (0.253, 0.747, 0.250)
As (0.747, 0.253, 0.750)
O (0.026, 0.217, 0.695)
O (0.162, 0.637, 0.887)
O (0.217, 0.026, 0.195)
O (0.303, 0.427, 0.204)
O (0.363, 0.838, 0.613)
O (0.427, 0.303, 0.704)
O (0.573, 0.697, 0.296)
O (0.637, 0.162, 0.387)
O (0.697, 0.573, 0.796)
O (0.783, 0.974, 0.805)
O (0.838, 0.363, 0.113)
O (0.974, 0.783, 0.305)



No. 11
The following is a DFT calculation (PBE-GGA) of a relaxed Mg2BeAsPb crystal.

Properties
Energy of formation from the pure elements in eV/atom: 0.582
Volume in Å³ per atom: 28.716

Unit cell a=4.881 b=4.881 c=6.028 alpha=90.00 beta=90.00 gamma=90.00
Sites, in units of the cell vectors:
Mg (0.000, 0.500, 0.000)
Mg (0.500, 0.000, 0.000)
Be (0.000, 0.000, 0.500)
As (0.500, 0.500, 0.000)
Pb (0.500, 0.500, 0.500)



No. 12
The following is a DFT calculation (PBE-GGA) of a relaxed MgBeAs2Se crystal.

Properties
Formation energy from raw total energies in eV/atom: 1.00
Volume in Å³ per atom: 24.387

Unit cell a=4.942 b=4.942 c=4.993 alpha=90.00 beta=90.00 gamma=90.00
Sites, in units of the cell vectors:
Mg (0.000, 0.000, 0.000)
Be (0.500, 0.500, 0.500)
As (0.000, 0.500, 0.000)
As (0.500, 0.000, 0.000)
Se (0.000, 0.000, 0.500)



No. 13
The following is a DFT calculation (PBE-GGA) of a relaxed MgBeAs2Se crystal.

Properties
Formation energy from raw total energies in eV/atom: 0.22
Volume in Å³ per atom: 20.028

Unit cell a=4.350 b=4.350 c=5.293 alpha=90.00 beta=90.00 gamma=90.00
Sites, in units of the cell vectors:
Mg (0.000, 0.000, 0.000)
Be (0.500, 0.500, 0.500)
As (0.000, 0.500, 0.500)
As (0.500, 0.000, 0.500)
Se (0.500, 0.500, 0.000)



No. 14
The following is a DFT calculation (PBE-GGA) of a relaxed Y2MgBeAs crystal.

Properties
Energy of formation from the pure elements in eV/atom: -0.130
Volume in Å³ per atom: 23.887

Unit cell a=5.129 b=5.129 c=4.540 alpha=90.00 beta=90.00 gamma=90.00
Sites, in units of the cell vectors:
Y (0.000, 0.500, 0.000)
Y (0.500, 0.000, 0.000)
Mg (0.000, 0.000, 0.500)
Be (0.000, 0.000, 0.000)
As (0.500, 0.500, 0.500)